Entry 1:
This record from the Alexandria database describes a geometry-optimized InH2O structure. The functional is GGA-PBE.

## Properties
Symmetry: I4_1/amd, No. 141
Crystal system: tetragonal
Energy above the lowest structure with this stoichiometry (meV per atom): 0

Cell: 8.4882 8.4882 8.4882 Å, 158.67 158.67 30.35°
Element x y z (fractional)
In 0.3750 0.6250 0.7500
In 0.6250 0.3750 0.2500
H 0.0000 0.5000 0.5000
H 0.5000 0.0000 0.0000
H 0.5000 0.5000 0.0000
H 0.5000 0.5000 0.5000
O 0.1250 0.8750 0.2500
O 0.8750 0.1250 0.7500

Entry 2:
This record from the Alexandria database describes a geometry-optimized PtRhAu structure. The functional is GGA-PBE.

## Properties
Symmetry: Imm2, No. 44
Crystal system: orthorhombic
Energy of formation from the pure elements (eV per atom): 0.129
Energy above the lowest structure with this stoichiometry (meV per atom): 40

Cell: 4.9174 4.9174 4.9174 Å, 146.50 132.45 59.41°
Element x y z (fractional)
Pt 0.0000 0.0000 0.0000
Rh 0.6587 0.6587 0.0000
Au 0.3283 0.3283 0.0000

Entry 3:
This record from the Alexandria database describes a geometry-optimized Mo2PAu structure. The functional is GGA-PBE.

## Properties
Symmetry: I-4m2, No. 119
Crystal system: tetragonal
Energy of formation from the pure elements (eV per atom): 0.347

Cell: 4.9118 4.9118 4.9118 Å, 133.12 133.12 68.47°
Element x y z (fractional)
Mo 0.0000 0.0000 0.0000
Mo 0.7500 0.2500 0.5000
P 0.2500 0.7500 0.5000
Au 0.5000 0.5000 0.0000

Entry 4:
This record from the Alexandria database describes a geometry-optimized ThZn2Cd2Pd structure. The functional is GGA-PBE.

## Properties
Symmetry: I4/mmm, No. 139
Crystal system: tetragonal
Energy of formation from the pure elements (eV per atom): 0.204

Cell: 6.5969 6.5969 6.5969 Å, 135.06 135.06 65.44°
Element x y z (fractional)
Th 0.0000 0.0000 0.0000
Zn 0.2820 0.2820 0.0000
Zn 0.7180 0.7180 0.0000
Cd 0.2500 0.7500 0.5000
Cd 0.7500 0.2500 0.5000
Pd 0.5000 0.5000 0.0000

Number 1: volume 10.11 Å³/atom. Number 2: volume 16.00 Å³/atom. Number 3: volume 15.50 Å³/atom. Number 4: volume 23.52 Å³/atom.